# 1
An optimized crystal structure of NpPa2N5, computed with PBE.

a = 3.8124 Å, b = 7.5819 Å, c = 16.0885 Å
α = 90.00°, β = 90.00°, γ = 90.00°
Last column: nearest neighbours and their distance in Å.
Atoms (fractional coordinates):
Np 0.7500 0.3702 0.0712  6 N 2.13-2.33
Np 0.2500 0.1298 0.5712  6 N 2.13-2.33
Np 0.7500 0.8702 0.4288  6 N 2.13-2.33
Np 0.2500 0.6298 0.9288  6 N 2.13-2.33
Pa 0.7500 0.3769 0.4150  8 N 2.29-2.49
Pa 0.7500 0.3776 0.7516  6 N 2.21-2.37
Pa 0.2500 0.1224 0.2516  6 N 2.21-2.37
Pa 0.2500 0.1231 0.9150  8 N 2.29-2.49
Pa 0.7500 0.8769 0.0850  8 N 2.29-2.49
Pa 0.7500 0.8776 0.7484  6 N 2.21-2.37
Pa 0.2500 0.6224 0.2484  6 N 2.21-2.37
Pa 0.2500 0.6231 0.5850  8 N 2.29-2.49
N 0.2500 0.3743 0.3211  4 Pa 2.21-2.43
N 0.2500 0.3793 0.0123  3 Np 2.13-2.33
N 0.2500 0.4083 0.8383  1 Np 2.22, 2 Pa 2.37
N 0.2500 0.3697 0.4942  1 Np 2.20, 3 Pa 2.29-2.41
N 0.7500 0.1556 0.1665  1 Np 2.24, 3 Pa 2.36-2.49
N 0.2500 0.3444 0.6665  1 Np 2.24, 3 Pa 2.36-2.49
N 0.7500 0.1303 0.9942  1 Np 2.20, 3 Pa 2.29-2.41
N 0.7500 0.0917 0.3383  1 Np 2.22, 2 Pa 2.37
N 0.7500 0.1207 0.5123  3 Np 2.13-2.33
N 0.7500 0.1257 0.8211  4 Pa 2.21-2.43
N 0.2500 0.8743 0.1789  4 Pa 2.21-2.43
N 0.2500 0.8793 0.4877  3 Np 2.13-2.33
N 0.2500 0.9083 0.6617  1 Np 2.22, 2 Pa 2.37
N 0.2500 0.8697 0.0058  1 Np 2.20, 3 Pa 2.29-2.41
N 0.7500 0.6556 0.3335  1 Np 2.24, 3 Pa 2.36-2.49
N 0.2500 0.8444 0.8335  1 Np 2.24, 3 Pa 2.36-2.49
N 0.7500 0.6303 0.5058  1 Np 2.20, 3 Pa 2.29-2.41
N 0.7500 0.5917 0.1617  1 Np 2.22, 2 Pa 2.37
N 0.7500 0.6207 0.9877  3 Np 2.13-2.33
N 0.7500 0.6257 0.6789  4 Pa 2.21-2.43

Calculated values
The energy relative to the elements, uncorrected is -1.502 eV per atom. For the magnetic moment, the calculation gives 2.01 μB/f.u. The space group is Pnma (62). The calculation puts the density of states at the Fermi level at 20.9 states/eV/cell.

***

# 2
An optimized crystal structure of Na3Nd2Hg4, computed with PBE.

a = 5.2492 Å, b = 5.2552 Å, c = 10.3147 Å
α = 89.71°, β = 90.00°, γ = 60.03°
Last column: nearest neighbours and their distance in Å.
Atoms (fractional coordinates):
Na 0.3350 0.3300 0.4267  4 Hg 3.20-3.31, 3 Na 3.36-3.41
Na 0.0000 0.0000 0.0000  8 Hg 3.22-3.37
Na 0.6650 0.6700 0.5733  4 Hg 3.20-3.31, 3 Na 3.36-3.41
Nd 0.3321 0.3358 0.7990  7 Hg 3.16-3.30
Nd 0.6679 0.6642 0.2010  7 Hg 3.16-3.30
Hg 0.6659 0.6683 0.8945  4 Nd 3.16-3.19, 4 Na 3.22-3.31
Hg 0.0020 0.9959 0.3264  4 Na 3.20-3.37, 3 Nd 3.30
Hg 0.9980 0.0041 0.6736  4 Na 3.20-3.37, 3 Nd 3.30
Hg 0.3341 0.3317 0.1055  4 Nd 3.16-3.19, 4 Na 3.22-3.31

Calculated values
The energy relative to the elements is -2.70 eV per formula unit. For the magnetic moment, the calculation gives 0.00 μB/f.u. The space group is C2/m (12). The calculation puts the density of states at the Fermi level at 4.9 states/eV/cell.

***

# 3
An optimized crystal structure of Cu2OF, computed with PBE.

a = 3.5798 Å, b = 5.8028 Å, c = 5.4536 Å
α = 70.56°, β = 90.53°, γ = 72.14°
Last column: nearest neighbours and their distance in Å.
Atoms (fractional coordinates):
Cu 0.1933 0.2979 0.2869  2 O 1.85-1.86
Cu 0.8992 0.8966 0.3493  3 O 1.91-2.04
Cu 0.6392 0.4156 0.6001  2 O 1.89, 1 F 2.07
Cu 0.4300 0.8298 0.9731  1 O 1.89, 1 F 1.97
O 0.3536 0.9851 0.2315  4 Cu 1.86-1.91
O 0.0950 0.5016 0.4936  4 Cu 1.85-2.04
F 0.6128 0.4823 0.9506  2 Cu 1.97-2.07
F 0.8640 0.9629 0.7495  4 Cu 2.13-2.34

Calculated values
The energy relative to the elements, uncorrected is -0.771 eV per atom. For the magnetic moment, the calculation gives 0.79 μB/f.u. The space group is P1 (1). As for the offset from the most stable computed form: 0.0000 eV/atom. The calculation puts the density of states at the Fermi level at 7.0 states/eV/cell.

***

# 4
An optimized crystal structure of BeAg2Ir, computed with PBE.

a = 2.7576 Å, b = 2.7576 Å, c = 8.6649 Å
α = 90.00°, β = 90.00°, γ = 115.55°
Last column: nearest neighbours and their distance in Å.
Atoms (fractional coordinates):
Be 0.0000 0.0000 0.5151  2 Ir 2.22, 2 Ag 2.48
Ir 0.5000 0.5000 0.7063  2 Be 2.22
Ag 0.0000 0.0000 0.9939  8 Ag 2.76-2.94, 2 Ir 2.89
Ag 0.5000 0.5000 0.2847  2 Be 2.48, 4 Ag 2.76

Calculated values
The energy relative to the elements is 0.35 eV per formula unit. For the magnetic moment, the calculation gives 0.00 μB/f.u. The space group is Cmm2 (35). The calculation puts the density of states at the Fermi level at 2.1 states/eV/cell.

***

# 5
An optimized crystal structure of ThZnCuNi3, computed with PBE.

a = 5.4195 Å, b = 5.2420 Å, c = 7.0247 Å
α = 111.91°, β = 90.00°, γ = 90.00°
Last column: nearest neighbours and their distance in Å.
Atoms (fractional coordinates):
Th 0.7500 0.3304 0.6608  6 Ni 2.63-2.88, 2 Cu 2.74, 1 Zn 2.90
Th 0.2500 0.6696 0.3392  6 Ni 2.63-2.88, 2 Cu 2.74, 1 Zn 2.90
Zn 0.2500 0.8922 0.7843  4 Ni 2.38, 2 Cu 2.65
Zn 0.7500 0.1078 0.2157  4 Ni 2.38, 2 Cu 2.65
Cu 0.2500 0.3609 0.7218  5 Ni 2.59-2.69, 2 Zn 2.65, 2 Th 2.74
Cu 0.7500 0.6391 0.2782  5 Ni 2.59-2.69, 2 Zn 2.65, 2 Th 2.74
Ni 0.2500 0.1543 0.3086  2 Th 2.63, 1 Cu 2.69, 2 Zn 2.78, 4 Ni 2.78
Ni 0.0000 0.2612 0.0000  2 Zn 2.38, 1 Ni 2.50, 2 Cu 2.59
Ni 0.5000 0.7388 0.0000  2 Zn 2.38, 1 Ni 2.50, 2 Cu 2.59
Ni 0.5000 0.2612 0.0000  2 Zn 2.38, 1 Ni 2.50, 2 Cu 2.59
Ni 0.0000 0.7388 0.0000  2 Zn 2.38, 1 Ni 2.50, 2 Cu 2.59
Ni 0.7500 0.8457 0.6914  2 Th 2.63, 1 Cu 2.69, 2 Zn 2.78, 4 Ni 2.78

Calculated values
The energy relative to the elements is -0.77 eV per formula unit. For the magnetic moment, the calculation gives 0.00 μB/f.u. The space group is Cmcm (63). The calculation puts the density of states at the Fermi level at 7.6 states/eV/cell.

***

# 6
An optimized crystal structure of CdSi2Br, computed with PBE.

a = 6.2279 Å, b = 3.8352 Å, c = 3.8352 Å
α = 90.00°, β = 90.00°, γ = 90.00°
Last column: nearest neighbours and their distance in Å.
Atoms (fractional coordinates):
Br 0.5000 0.5000 0.0000  4 Cd 2.71
Cd 0.5000 0.0000 0.5000  4 Br 2.71
Si 0.0000 0.0000 0.0000  4 Si 2.71
Si 0.0000 0.5000 0.5000  4 Si 2.71

Calculated values
The energy relative to the elements, uncorrected is 0.527 eV per atom. For the magnetic moment, the calculation gives 0.00 μB/f.u. The space group is P4/mmm (123). As for the offset from the most stable computed form: 0.5056 eV/atom. The calculation puts the density of states at the Fermi level at 2.1 states/eV/cell.

***

# 7
An optimized crystal structure of IrRh2Pb, computed with PBE.

a = 9.1306 Å, b = 9.1306 Å, c = 9.1306 Å
α = 18.61°, β = 18.61°, γ = 18.61°
Last column: nearest neighbours and their distance in Å.
Atoms (fractional coordinates):
Ir 0.5000 0.5000 0.5000  6 Rh 2.70, 6 Ir 2.95
Rh 0.7555 0.7555 0.7555  3 Ir 2.70, 3 Pb 2.94, 6 Rh 2.95
Rh 0.2445 0.2445 0.2445  3 Ir 2.70, 3 Pb 2.94, 6 Rh 2.95
Pb 0.0000 0.0000 0.0000  6 Rh 2.94, 6 Pb 2.95

Calculated values
The energy relative to the elements is 1.57 eV per formula unit. For the magnetic moment, the calculation gives 0.00 μB/f.u. The space group is R-3m (166). The calculation puts the density of states at the Fermi level at 5.4 states/eV/cell.

***

# 8
An optimized crystal structure of LiPtI, computed with PBE.

a = 3.8368 Å, b = 9.4060 Å, c = 9.4060 Å
α = 153.37°, β = 90.00°, γ = 90.00°
Last column: nearest neighbours and their distance in Å.
Atoms (fractional coordinates):
I 0.0000 0.5412 0.4588  2 Pt 2.68, 2 Li 2.94
I 0.5000 0.2311 0.7689  2 Pt 2.79, 4 Li 2.95
Pt 0.5000 0.4390 0.5610  2 Pt 2.62, 2 I 2.68, 4 Li 2.90
Pt 0.0000 0.3417 0.6583  4 Li 2.60-2.73, 2 Pt 2.62, 2 I 2.79
Li 0.0000 0.9328 0.0672  6 Pt 2.73-2.90, 2 I 2.94
Li 0.0000 0.7630 0.2370  2 Pt 2.60

Calculated values
The energy relative to the elements, uncorrected is -0.510 eV per atom. For the magnetic moment, the calculation gives 0.00 μB/f.u. The space group is Amm2 (38). As for the offset from the most stable computed form: 0.0712 eV/atom. The calculation puts the density of states at the Fermi level at 0.0 states/eV/cell.

***

# 9
An optimized crystal structure of BP3, computed with PBE.

a = 5.2097 Å, b = 3.2474 Å, c = 11.3511 Å
α = 90.00°, β = 110.11°, γ = 90.00°
Last column: nearest neighbours and their distance in Å.
Atoms (fractional coordinates):
P 0.0455 0.0000 0.5275  2 B 1.93
P 0.0455 0.5000 0.0275  2 B 1.93
P 0.6205 0.0000 0.1705  1 B 1.83
P 0.6205 0.5000 0.6705  1 B 1.83
P 0.9126 0.0000 0.7003  3 P 2.17-2.29
P 0.9126 0.5000 0.2003  3 P 2.17-2.29
B 0.2592 0.0000 0.0718  3 P 1.83-1.93
B 0.2592 0.5000 0.5718  3 P 1.83-1.93

Calculated values
The energy relative to the elements is 0.86 eV per formula unit. For the magnetic moment, the calculation gives 0.00 μB/f.u. The space group is Cm (8). As for the offset from the most stable computed form: 0.2050 eV/atom. The calculation puts the density of states at the Fermi level at 0.1 states/eV/cell.

***

# 10
An optimized crystal structure of ZnCu2N, computed with PBE.

a = 4.7318 Å, b = 4.7318 Å, c = 6.3607 Å
α = 68.16°, β = 68.16°, γ = 90.00°
Last column: nearest neighbours and their distance in Å.
Atoms (fractional coordinates):
Zn 0.0000 0.0000 0.0000  4 Cu 2.62
Zn 0.7500 0.2500 0.5000  4 Cu 2.62
Cu 0.4716 0.1250 0.2500  2 N 1.85
Cu 0.2784 0.6250 0.2500  2 N 1.85
Cu 0.3750 0.5284 0.7500  2 N 1.85
Cu 0.8750 0.7216 0.7500  2 N 1.85
N 0.5000 0.5000 0.0000  4 Cu 1.85
N 0.2500 0.7500 0.5000  4 Cu 1.85

Calculated values
The energy relative to the elements, uncorrected is 0.485 eV per atom. For the magnetic moment, the calculation gives 0.00 μB/f.u. The space group is I-42d (122). As for the offset from the most stable computed form: 0.0000 eV/atom. The calculation puts the density of states at the Fermi level at 5.9 states/eV/cell.